[1]
DFT (GGA-PBE) results for NaGeCl4 after structural relaxation.

POSCAR file:
```
NaGeCl4
1.0
6.652 0.000 0.000
0.000 6.818 0.000
0.000 0.000 8.208
Cl Na Ge
8 2 2
Cartesian
2.123 4.694 4.104
5.487 5.649 2.290
5.487 5.649 5.918
2.161 1.169 6.394
2.161 1.169 1.814
5.827 2.282 4.104
5.449 2.124 0.000
2.501 4.536 0.000
0.364 6.485 0.000
3.690 0.333 4.104
3.142 2.320 0.000
6.468 4.498 4.104
```

Calculated values
Formation energy (no corrections), meV per atom: -1026
Size of the total moment, μB per formula unit: 1.037
N(E_F), states/eV/atom: 0.49
Electronic total energy, eV/atom: -3.247


[2]
DFT (GGA-PBE) results for Na2Ge4Cl9 after structural relaxation.

POSCAR file:
```
Na2Ge4Cl9
1.0
6.956 -0.055 -0.051
3.432 6.180 0.322
-0.233 1.000 20.598
Cl Ge Na
18 8 4
Cartesian
4.280 4.474 8.807
8.968 4.426 12.102
8.193 2.312 1.765
1.999 0.340 5.280
5.012 4.257 2.234
1.186 2.700 8.767
8.224 5.831 1.577
4.260 0.864 8.374
1.962 4.814 19.104
8.809 5.373 5.614
5.143 2.869 18.635
1.346 1.753 15.255
5.895 6.262 12.495
6.276 2.878 5.274
1.930 1.294 19.292
3.878 4.247 15.595
5.874 2.652 12.062
8.156 6.786 15.589
6.843 4.554 10.992
3.359 2.139 14.058
5.798 4.579 17.012
3.312 2.571 9.877
3.072 3.046 20.315
6.796 4.986 6.811
7.083 4.080 0.554
4.357 2.546 3.857
6.847 0.650 7.221
3.438 6.311 3.478
6.717 0.814 17.392
3.308 6.475 13.648
```

Calculated values
Formation energy (no corrections), meV per atom: -934
Size of the total moment, μB per formula unit: 1.000
Electronic total energy, eV/atom: -3.449


[3]
DFT (GGA-PBE) results for NaGe2Cl4 after structural relaxation.

POSCAR file:
```
NaGe2Cl4
1.0
-5.502 3.645 0.006
-1.318 -5.453 -3.476
1.803 -1.530 6.162
Cl Ge Na
4 2 1
Cartesian
-3.874 -2.816 0.173
-0.325 -4.293 2.875
-1.143 -0.522 2.519
-4.693 0.956 -0.183
-1.463 -3.943 0.475
-3.555 0.606 2.217
-3.410 -0.904 -1.735
```

Calculated values
Formation energy (no corrections), meV per atom: -659
Size of the total moment, μB per formula unit: 1.038
N(E_F), states/eV/atom: 0.53
Electronic total energy, eV/atom: -3.222


[4]
DFT (GGA-PBE) results for NaGeCl after structural relaxation.

POSCAR file:
```
NaGeCl
1.0
7.978 0.000 0.007
0.000 3.965 0.000
-4.410 0.000 11.447
Ge Cl Na
4 4 4
Cartesian
3.064 1.982 8.977
-1.570 1.982 4.119
-3.776 0.000 9.842
5.269 0.000 3.253
0.905 1.982 3.210
5.407 0.000 0.601
-1.301 0.000 8.934
3.202 1.982 6.325
7.419 1.982 0.919
2.315 0.000 4.448
5.213 0.000 6.643
0.109 1.982 10.172
```

Calculated values
Formation energy (no corrections), meV per atom: -754
Size of the total moment, μB per formula unit: 0.000
Electronic total energy, eV/atom: -3.348
Energy above the lowest structure with this stoichiometry, eV/f.u.: 0.46


[5]
DFT (GGA-PBE) results for Na5Ge3Cl12 after structural relaxation.

POSCAR file:
```
Na5Ge3Cl12
1.0
13.946 0.000 0.000
-4.649 13.148 0.000
-4.649 -6.574 11.387
Cl Na Ge
48 20 12
Cartesian
9.239 -3.191 7.138
-1.440 4.360 9.943
9.355 1.299 0.639
-1.440 -3.431 8.333
0.430 7.969 7.694
2.721 4.954 1.195
6.088 2.214 1.444
4.218 -1.394 3.693
3.209 5.645 4.498
6.915 11.850 0.639
-2.266 3.191 7.138
2.382 8.659 4.888
5.079 5.788 8.747
-1.928 -0.225 9.386
6.088 10.005 3.054
5.045 1.845 10.582
1.894 5.180 7.694
1.440 0.929 6.889
8.413 -4.360 9.943
-0.058 4.490 4.888
-3.764 10.934 1.444
-1.894 -0.608 5.055
-0.396 4.729 0.805
1.928 -1.845 10.582
-5.045 0.225 9.386
1.928 1.620 10.192
2.755 1.394 3.693
7.403 -0.786 2.639
-2.755 7.360 8.747
-4.707 5.276 10.748
9.694 6.349 2.001
-0.430 0.786 2.639
2.721 8.419 0.805
6.577 6.799 2.001
6.915 3.383 4.249
-0.885 7.504 4.498
-4.218 5.966 6.332
-5.533 3.431 8.333
10.182 3.143 3.054
6.543 7.182 6.332
-0.396 8.194 1.195
2.266 -2.084 6.499
-4.591 9.765 4.249
5.045 -1.620 10.192
-2.266 -5.276 10.748
4.707 2.084 6.499
8.867 0.608 5.055
5.533 -0.929 6.889
6.973 0.000 0.000
3.487 2.465 1.423
-2.324 6.574 0.000
-1.162 10.683 1.423
5.811 3.287 8.540
5.811 -4.109 9.964
-3.487 7.396 4.270
8.135 -0.822 7.117
0.000 0.000 0.000
-1.162 3.287 2.847
1.162 -3.287 8.540
-1.162 0.822 7.117
3.487 9.861 2.847
1.162 4.109 9.964
4.649 6.574 0.000
-4.649 3.287 5.693
4.649 -3.287 5.693
2.324 3.287 5.693
-2.324 -3.287 5.693
5.811 5.752 4.270
8.135 9.040 1.423
5.811 0.822 4.270
1.162 6.574 2.847
1.162 -0.822 4.270
-3.487 -2.465 9.964
-3.487 2.465 9.964
3.487 0.000 8.540
8.135 4.109 1.423
-5.811 6.574 8.540
-1.162 5.752 7.117
3.487 7.396 7.117
10.460 0.000 2.847
```

Calculated values
Formation energy (no corrections), meV per atom: -1046
Size of the total moment, μB per formula unit: 1.062
N(E_F), states/eV/atom: 1.29
Electronic total energy, eV/atom: -3.176


[6]
DFT (GGA-PBE) results for NaGeCl after structural relaxation.

POSCAR file:
```
NaGeCl
1.0
3.873 0.000 0.000
0.000 13.592 0.000
0.000 0.000 6.232
Ge Na Cl
4 4 4
Cartesian
0.968 0.716 2.352
2.905 7.511 5.468
2.905 12.876 2.352
0.968 6.080 5.468
0.968 9.183 3.309
0.968 11.205 0.193
2.905 4.409 3.309
2.905 2.387 0.193
0.968 4.337 1.254
0.968 2.459 4.370
2.905 9.255 1.254
2.905 11.133 4.370
```

Calculated values
Formation energy (no corrections), meV per atom: -756
Size of the total moment, μB per formula unit: 0.000
Electronic total energy, eV/atom: -3.350
Energy above the lowest structure with this stoichiometry, eV/f.u.: 0.46


[7]
DFT (GGA-PBE) results for Na5GeCl8 after structural relaxation.

POSCAR file:
```
Na5GeCl8
1.0
-7.388 -2.779 -1.829
6.467 -3.375 -3.526
0.902 -1.537 7.904
Cl Na Ge
8 5 1
Cartesian
5.335 -4.149 2.262
2.182 -5.825 1.615
-2.442 -3.106 -0.911
-1.003 -3.804 3.152
1.801 -2.317 0.764
2.627 -3.223 4.645
0.780 -5.248 -1.788
4.499 -3.688 -1.239
-3.015 -4.984 4.606
0.785 -1.627 3.375
-0.460 -3.077 -2.677
-0.564 -4.460 0.570
2.756 -4.311 -3.453
3.454 -3.995 0.850
```

Calculated values
Formation energy (no corrections), meV per atom: -1414
Size of the total moment, μB per formula unit: 1.018
N(E_F), states/eV/atom: 0.15
Electronic total energy, eV/atom: -3.270


[8]
DFT (GGA-PBE) results for NaGeCl2 after structural relaxation.

POSCAR file:
```
NaGeCl2
1.0
0.000 3.528 3.528
3.528 0.000 3.528
3.528 3.528 0.000
Na Cl Ge
1 2 1
Cartesian
0.000 0.000 0.000
1.764 1.764 1.764
5.291 5.291 5.291
3.528 3.528 3.528
```

Calculated values
Formation energy (no corrections), meV per atom: -623
Size of the total moment, μB per formula unit: 0.000
N(E_F), states/eV/atom: 0.52
Electronic total energy, eV/atom: -3.031
Energy above the lowest structure with this stoichiometry, eV/f.u.: 0.26


[9]
DFT (GGA-PBE) results for Na2GeCl after structural relaxation.

POSCAR file:
```
Na2GeCl
1.0
-0.168 7.276 -2.082
-7.206 0.483 2.268
-2.540 4.887 3.523
Ge Na Cl
2 4 2
Cartesian
0.000 0.000 0.000
-3.197 8.021 0.767
-8.062 10.434 2.712
-1.634 5.532 -0.052
-5.166 2.731 1.953
-4.965 6.595 2.805
-3.687 3.879 0.093
-6.716 4.625 2.942
```

Calculated values
Formation energy (no corrections), meV per atom: -441
Size of the total moment, μB per formula unit: 0.000
N(E_F), states/eV/atom: 0.36
Electronic total energy, eV/atom: -2.716
Energy above the lowest structure with this stoichiometry, eV/f.u.: 0.00


[10]
DFT (GGA-PBE) results for NaGeCl after structural relaxation.

POSCAR file:
```
NaGeCl
1.0
7.215 0.000 -0.005
0.000 14.119 0.000
-5.017 0.000 3.328
Cl Na Ge
4 4 4
Cartesian
3.450 11.712 0.241
-2.665 2.407 1.908
-0.157 9.467 0.244
0.942 4.652 1.905
-4.205 11.951 2.925
-1.697 4.891 1.261
-0.598 9.228 2.923
1.911 2.168 1.259
0.087 13.409 2.479
-1.012 0.710 0.817
2.596 6.349 0.815
-3.520 7.770 2.481
```

Calculated values
Formation energy (no corrections), meV per atom: -769
Size of the total moment, μB per formula unit: 0.000
Electronic total energy, eV/atom: -3.363
Energy above the lowest structure with this stoichiometry, eV/f.u.: 0.42


[11]
DFT (GGA-PBE) results for Na2GeCl after structural relaxation.

POSCAR file:
```
Na2GeCl
1.0
4.164 0.309 3.253
2.389 4.654 0.806
-0.468 2.442 4.673
Na Ge Cl
2 1 1
Cartesian
1.521 1.851 2.183
4.564 5.554 6.549
3.042 3.702 4.366
0.000 0.000 0.000
```

Calculated values
Formation energy (no corrections), meV per atom: -254
Size of the total moment, μB per formula unit: 2.818
N(E_F), states/eV/atom: 0.68
Electronic total energy, eV/atom: -2.529
Energy above the lowest structure with this stoichiometry, eV/f.u.: 0.75


[12]
DFT (GGA-PBE) results for NaGeCl after structural relaxation.

POSCAR file:
```
NaGeCl
1.0
11.043 0.000 0.050
0.000 5.259 0.000
-1.179 0.000 5.127
Ge Cl Na
4 4 4
Cartesian
0.830 2.630 4.151
0.267 0.000 4.016
1.419 0.000 1.587
0.857 2.630 1.452
4.219 0.000 2.201
3.629 2.630 4.764
8.089 0.000 0.386
7.500 2.630 2.949
8.198 0.000 3.108
8.787 2.630 0.544
4.821 2.630 2.339
4.232 0.000 4.902
```

Calculated values
Formation energy (no corrections), meV per atom: -909
Size of the total moment, μB per formula unit: 0.000
N(E_F), states/eV/atom: 0.06
Electronic total energy, eV/atom: -3.503
Energy above the lowest structure with this stoichiometry, eV/f.u.: 0.00